The following is a GGA+U calculation of a relaxed CoHI2O crystal, from Alexandria.

Cell and atoms, written as CIF:
```
data_CoHI2O
_cell_length_a 5.972
_cell_length_b 5.972
_cell_length_c 3.457
_cell_angle_alpha 90.00
_cell_angle_beta 90.00
_cell_angle_gamma 90.00
_symmetry_space_group_name_H-M 'P 1'
_symmetry_Int_Tables_number 1
loop_
_symmetry_equiv_pos_as_xyz
'x,y,z'
loop_
_atom_site_label
_atom_site_fract_x
_atom_site_fract_y
_atom_site_fract_z
_atom_site_occupancy
H1 0.500 0.500 0.500 1
I1 0.500 0.000 0.000 1
Co1 0.000 0.000 0.000 1
I2 0.000 0.500 0.000 1
O1 0.000 0.000 0.500 1
```

## Properties
Distance to the lowest polymorph of the same formula, meV/atom: 0
VASP energy, eV per atom: -2.98
D(E_F), states/eV per cell: 2.699
Crystal system: tetragonal